DFT (PBE) results for crystalline Tb8Ge3Te4Br at its relaxed geometry.

Cell lengths 8.5177, 8.5177, 21.2994 Å; angles 90.00, 90.00, 120.00 degrees
Last column: nearest neighbours and their distance in Å.
Space group R-3m (No. 166, hexagonal axes)
One atom of each set of equivalent atoms:
Tb 0.0000 0.0000 0.2402 (multiplicity 6)  3 Ge 2.91, 3 Te 3.16
Tb 0.0169 0.5085 0.7585 (multiplicity 18)  2 Ge 2.88, 1 Br 3.04, 3 Te 3.05-3.19
Ge 0.0000 0.5000 0.5000 (multiplicity 9)  6 Tb 2.88-2.91
Te 0.0000 0.0000 0.0000 (multiplicity 3)  6 Tb 3.05
Te 0.0000 0.5000 0.0000 (multiplicity 9)  6 Tb 3.16-3.19
Br 0.0000 0.0000 0.5000 (multiplicity 3)  6 Tb 3.04

Properties
crystal system	trigonal
formation energy without anion corrections	-1.2315	eV/atom

***

DFT (PBE) results for crystalline AgBiIN2 at its relaxed geometry.

Cell lengths 4.4618, 4.4618, 6.0304 Å; angles 90.00, 90.00, 90.00 degrees
Last column: nearest neighbours and their distance in Å.
Space group P4/mmm (No. 123)
One atom of each set of equivalent atoms:
Ag 0.0000 0.0000 0.0000 (multiplicity 1)  4 N 2.23
Bi 0.5000 0.5000 0.5000 (multiplicity 1)  4 I 3.15
I 0.0000 0.0000 0.5000 (multiplicity 1)  2 Ag 3.02, 4 Bi 3.15
N 0.0000 0.5000 0.0000 (multiplicity 2)  2 Ag 2.23

Properties
crystal system	tetragonal
formation energy without anion corrections	1.7955	eV/atom
offset from the most stable computed form	394	meV/atom

***

DFT (PBE) results for crystalline YMo at its relaxed geometry.

Cell lengths 7.9888, 7.9888, 7.9888 Å; angles 90.00, 90.00, 90.00 degrees
Last column: nearest neighbours and their distance in Å.
Space group Pm-3n (No. 223)
One atom of each set of equivalent atoms:
Y 0.0000 0.2500 0.5000 (multiplicity 6)  4 Mo 2.82
Mo 0.0000 0.5000 0.2500 (multiplicity 6)  4 Y 2.82

Properties
calculated formation energy	2543	meV/atom
crystal system	cubic
offset from the most stable computed form	2407	meV/atom

***

DFT (PBE) results for crystalline Er5Tm2Sb5 at its relaxed geometry.

Cell lengths 14.1107, 4.3125, 12.4030 Å; angles 90.00, 110.54, 90.00 degrees
Last column: nearest neighbours and their distance in Å.
Space group C2/m (No. 12)
One atom of each set of equivalent atoms:
Er 0.0000 0.0000 0.0000 (multiplicity 2)  4 Sb 3.02
Er 0.1610 0.0000 0.5335 (multiplicity 4)  5 Sb 3.05-3.26
Er 0.2184 0.0000 0.8413 (multiplicity 4)  5 Sb 2.94-3.16
Tm 0.0479 0.5000 0.2874 (multiplicity 4)  4 Sb 2.90-3.01
Sb 0.0000 0.5000 0.5000 (multiplicity 2)  2 Tm 2.94, 4 Er 3.05
Sb 0.1181 0.5000 0.9324 (multiplicity 4)  1 Tm 2.90, 5 Er 2.94-3.02
Sb 0.1966 0.0000 0.2876 (multiplicity 4)  2 Tm 3.01, 5 Er 3.16-3.26

Properties
crystal system	monoclinic
formation energy without anion corrections	-0.7949	eV/atom

***

Number 1: energy -5.302 eV/atom. Number 2: energy -3.191 eV/atom. Number 3: energy -6.105 eV/atom. Number 4: energy -5.159 eV/atom.